No. 1
Entry from Alexandria via LeMat-Bulk: a relaxed CaCd2IrF crystal (PBE).

crystal system	tetragonal
DOS(E_F)	1.5	states/eV/cell
raw formation energy	-0.59	eV per atom
DFT total energy	-3.504	eV/atom

```
CaCd2IrF
1.0
-1.5953 -3.4478 -2.8548
-2.2270 -1.6877 3.2827
-3.7431 2.6896 -1.1565
Ca Ir Cd F
1 1 2 1
direct
0.0000 0.5000 0.0000
0.5000 0.5000 0.5000
0.5000 0.0000 0.0000
0.0000 0.0000 0.5000
0.0000 0.0000 0.0000
```

No. 2
Entry from Alexandria via LeMat-Bulk: a relaxed K2Ca3CdF12 crystal (PBE).

crystal system	trigonal
DOS(E_F)	10.1	states/eV/cell
raw formation energy	-2.84	eV per atom
DFT total energy	-4.598	eV/atom

```
K2Ca3CdF12
1.0
8.2529 0.2179 0.1546
4.2652 7.0687 0.1546
4.2652 2.4827 6.6201
Ca K F Cd
3 2 12 1
direct
0.0000 0.0000 0.5000
0.0000 0.5000 0.0000
0.5000 0.0000 0.0000
0.4093 0.4093 0.4093
0.5907 0.5907 0.5907
0.3425 0.3425 0.9086
0.0676 0.6872 0.0676
0.0914 0.6575 0.6575
0.6872 0.0676 0.0676
0.6575 0.0914 0.6575
0.6575 0.6575 0.0914
0.9324 0.3128 0.9324
0.9324 0.9324 0.3128
0.9086 0.3425 0.3425
0.3128 0.9324 0.9324
0.0676 0.0676 0.6872
0.3425 0.9086 0.3425
0.0000 0.0000 0.0000
```

No. 3
Entry from Alexandria via LeMat-Bulk: a relaxed K3CaCd2F9 crystal (PBE).

crystal system	trigonal
DOS(E_F)	0.0	states/eV/cell
raw formation energy	-2.78	eV per atom
DFT total energy	-4.375	eV/atom

```
K3CaCd2F9
1.0
6.3178 0.0000 0.0000
-3.1589 5.4713 0.0000
0.0000 0.0000 7.7558
F K Cd Ca
9 3 2 1
direct
0.3293 0.1646 0.6698
0.5000 0.0000 0.0000
0.8354 0.1646 0.6698
0.1646 0.3293 0.3302
0.0000 0.5000 0.0000
0.5000 0.5000 0.0000
0.6707 0.8354 0.3302
0.8354 0.6707 0.6698
0.1646 0.8354 0.3302
0.6667 0.3333 0.3135
0.0000 0.0000 0.0000
0.3333 0.6667 0.6865
0.6667 0.3333 0.8302
0.3333 0.6667 0.1698
0.0000 0.0000 0.5000
```

No. 4
Entry from Alexandria via LeMat-Bulk: a relaxed KCaCd2F8 crystal (PBE).

crystal system	monoclinic
DOS(E_F)	4.6	states/eV/cell
raw formation energy	-2.52	eV per atom
DFT total energy	-4.177	eV/atom

```
KCaCd2F8
1.0
-2.1598 -0.3487 3.0878
-1.6363 -5.1153 -1.7108
6.5412 -3.4923 4.1810
F K Cd Ca
8 1 2 1
direct
0.5004 0.7527 0.0000
0.9998 0.2567 0.2310
0.0002 0.7433 0.7690
0.0002 0.7432 0.2310
0.4996 0.2473 0.0000
0.4988 0.3269 0.4999
0.5012 0.6731 0.5001
0.9998 0.2568 0.7690
0.0000 0.0000 0.5000
0.5000 0.5000 0.2219
0.5000 0.5000 0.7781
0.0000 0.0000 0.0000
```

No. 5
Entry from Alexandria via LeMat-Bulk: a relaxed K2CaCdF crystal (PBE).

crystal system	tetragonal
DOS(E_F)	3.1	states/eV/cell
raw formation energy	-1.04	eV per atom
DFT total energy	-2.435	eV/atom

```
K2CaCdF
1.0
5.9450 0.0000 0.0000
0.0000 4.6337 0.0000
0.0000 0.0000 5.9450
Cd K F Ca
1 2 1 1
direct
0.5000 0.5000 0.5000
0.0000 0.0000 0.5000
0.5000 0.0000 0.0000
0.0000 0.0000 0.0000
0.0000 0.5000 0.0000
```

No. 6
Entry from Alexandria via LeMat-Bulk: a relaxed LiCa2CdF8 crystal (PBE).

crystal system	triclinic
DOS(E_F)	9.7	states/eV/cell
raw formation energy	-2.94	eV per atom
DFT total energy	-4.760	eV/atom

```
LiCa2CdF8
1.0
3.9058 -0.1441 0.0454
-0.1088 5.4268 -0.1588
0.0903 -0.2063 7.6236
F Li Ca Cd
8 1 2 1
direct
0.9822 0.2178 0.2358
0.4874 0.2492 0.4923
0.0178 0.7822 0.7642
0.9700 0.2806 0.7341
0.0300 0.7194 0.2659
0.4454 0.2450 0.9835
0.5546 0.7550 0.0165
0.5126 0.7508 0.5077
0.0000 0.0000 0.0000
0.5098 0.4815 0.2428
0.4902 0.5185 0.7572
0.0000 0.0000 0.5000
```

No. 7
Entry from Alexandria via LeMat-Bulk: a relaxed LiCaCdF6 crystal (PBE).

crystal system	trigonal
DOS(E_F)	20.3	states/eV/cell
raw formation energy	-2.61	eV per atom
DFT total energy	-4.394	eV/atom

```
LiCaCdF6
1.0
-1.4412 5.4156 0.3184
-2.6443 -3.4011 -3.5983
-6.1859 -2.0261 6.4610
Li F Ca Cd
2 12 2 2
direct
0.6667 0.3333 0.2500
0.3333 0.6667 0.7500
0.6803 0.6514 0.1306
0.3197 0.9711 0.6306
0.9711 0.3197 0.1306
0.6803 0.0289 0.3694
0.3486 0.0289 0.1306
0.6514 0.9711 0.8694
0.3486 0.3197 0.3694
0.0289 0.6803 0.8694
0.0289 0.3486 0.6306
0.9711 0.6514 0.3694
0.3197 0.3486 0.8694
0.6514 0.6803 0.6306
0.6667 0.3333 0.7500
0.3333 0.6667 0.2500
0.0000 0.0000 0.0000
0.0000 0.0000 0.5000
```

No. 8
Entry from Alexandria via LeMat-Bulk: a relaxed Li2CaCdF crystal (PBE).

crystal system	tetragonal
DOS(E_F)	0.9	states/eV/cell
raw formation energy	-1.19	eV per atom
DFT total energy	-2.912	eV/atom

```
Li2CaCdF
1.0
4.5546 0.0000 0.0000
0.0000 4.5546 0.0000
0.0000 0.0000 4.6752
Ca Li F Cd
1 2 1 1
direct
0.0000 0.0000 0.5000
0.0000 0.5000 0.0000
0.5000 0.0000 0.0000
0.0000 0.0000 0.0000
0.5000 0.5000 0.5000
```

No. 9
Entry from Alexandria via LeMat-Bulk: a relaxed Ca2MgCdF crystal (PBE).

crystal system	tetragonal
DOS(E_F)	2.9	states/eV/cell
raw formation energy	-0.33	eV per atom
DFT total energy	-2.008	eV/atom

```
Ca2MgCdF
1.0
-2.4226 5.6451 0.3417
-0.4911 0.0665 -4.5815
-5.6173 -2.4450 0.5666
Ca Mg F Cd
2 1 1 1
direct
0.5000 0.0000 0.0000
0.0000 0.0000 0.5000
0.5000 0.5000 0.5000
0.0000 0.5000 0.0000
0.0000 0.0000 0.0000
```